*A*
TcSbP, relaxed, DFT PBE-GGA; DOS(E_F) = 1.86 states/eV per cell; density = 7.89 g cm⁻³
1.0
4.2339 0.0000 0.0000
-2.1169 3.6667 0.0000
0.0000 0.0000 3.3987
Tc Sb P
1 1 1
Direct
0.0000 0.0000 0.0000
0.3333 0.6667 0.5000
0.6667 0.3333 0.0000

---

*B*
TcSbP, relaxed, DFT PBE-GGA; DOS(E_F) = 1.85 states/eV per cell; density = 7.07 g cm⁻³
1.0
0.0000 2.5450 7.0453
1.6418 0.0000 7.0453
1.6418 2.5450 0.0000
Tc Sb P
1 1 1
Direct
0.0000 0.0000 0.0000
0.6664 0.6664 0.3336
0.3865 0.3865 0.6135

---

Calculated relative energies: *A* 0.0; *B* 8.3, given in kJ/mol of atoms

---

*A*
TcSbP, relaxed, DFT PBE-GGA; DOS(E_F) = 2.08 states/eV per cell; density = 7.65 g cm⁻³
1.0
3.2807 0.0000 0.0000
-1.6404 2.8412 0.0000
0.0000 0.0000 5.8384
Tc Sb P
1 1 1
Direct
0.0000 0.0000 0.0000
0.6667 0.3333 0.6486
0.3333 0.6667 0.2479

---

*B*
TcSbP, relaxed, DFT PBE-GGA; DOS(E_F) = 3.31 states/eV per cell; density = 7.19 g cm⁻³
1.0
0.0000 3.0710 3.0710
3.0710 0.0000 3.0710
3.0710 3.0710 0.0000
Tc Sb P
1 1 1
Direct
0.0000 0.0000 0.0000
0.7500 0.7500 0.7500
0.2500 0.2500 0.2500

---

Calculated relative energies: *A* 0.0; *B* 26.8, given in kJ/mol of atoms

---

*A*
TcSb3P, relaxed, DFT PBE-GGA; DOS(E_F) = 2.68 states/eV per cell; density = 6.24 g cm⁻³
1.0
5.0846 0.0000 0.0000
0.0000 5.0846 0.0000
0.0000 0.0000 5.0846
Tc Sb P
1 3 1
Direct
0.0000 0.0000 0.0000
0.0000 0.5000 0.5000
0.5000 0.0000 0.5000
0.5000 0.5000 0.0000
0.5000 0.5000 0.5000

---

*B*
TcSb3P, relaxed, DFT PBE-GGA; DOS(E_F) = 3.33 states/eV per cell; density = 6.23 g cm⁻³
1.0
5.0872 0.0000 0.0000
0.0000 5.0872 0.0000
0.0000 0.0000 5.0872
Tc Sb P
1 3 1
Direct
0.0000 0.0000 0.0000
0.0000 0.0000 0.5000
0.0000 0.5000 0.0000
0.5000 0.0000 0.0000
0.5000 0.5000 0.5000

---

Calculated relative energies: *A* 46.5; *B* 0.0, given in kJ/mol of atoms

---

*A*
Tc2SbP, relaxed, DFT PBE-GGA; DOS(E_F) = 3.84 states/eV per cell; density = 9.01 g cm⁻³
1.0
-2.0326 2.0326 3.8898
2.0326 -2.0326 3.8898
2.0326 2.0326 -3.8898
Tc Sb P
2 1 1
Direct
0.0000 0.0000 0.0000
0.7500 0.2500 0.5000
0.5000 0.5000 0.0000
0.2500 0.7500 0.5000

---

*B*
Tc2SbP, relaxed, DFT PBE-GGA; DOS(E_F) = 3.50 states/eV per cell; density = 6.61 g cm⁻³
1.0
-2.8544 2.8544 5.3761
2.8544 -2.8544 5.3761
2.8544 2.8544 -5.3761
Tc Sb P
4 2 2
Direct
0.0750 0.6250 0.9500
0.3750 0.3250 0.4500
0.6750 0.1250 0.0500
0.8750 0.9250 0.5500
0.2500 0.7500 0.5000
0.5000 0.5000 0.0000
0.0000 0.0000 0.0000
0.7500 0.2500 0.5000

---

Calculated relative energies: *A* 0.0; *B* 0.6, given in kJ/mol of atoms

---

*A*
Tc2SbP, relaxed, DFT PBE-GGA; DOS(E_F) = 3.79 states/eV per cell; density = 9.54 g cm⁻³
1.0
3.0703 0.0000 0.0000
0.0000 3.0703 0.0000
0.0000 0.0000 6.4378
Tc Sb P
2 1 1
Direct
0.0000 0.0000 0.2175
0.0000 0.0000 0.7825
0.5000 0.5000 0.5000
0.5000 0.5000 0.0000

---

*B*
Tc2SbP, relaxed, DFT PBE-GGA; DOS(E_F) = 3.35 states/eV per cell; density = 8.78 g cm⁻³
1.0
3.0968 0.0000 0.0000
0.0000 4.0860 0.0000
0.0000 0.0000 5.2094
Tc Sb P
2 1 1
Direct
0.0000 0.0000 0.0000
0.5000 0.0000 0.5000
0.0000 0.5000 0.5000
0.5000 0.5000 0.0000

---

*C*
Tc2SbP, relaxed, DFT PBE-GGA; DOS(E_F) = 2.82 states/eV per cell; density = 8.75 g cm⁻³
1.0
1.6370 0.9451 7.1298
-1.6370 0.9451 7.1298
0.0000 -1.8903 7.1298
Tc Sb P
2 1 1
Direct
0.2330 0.2330 0.2330
0.7670 0.7670 0.7670
0.0000 0.0000 0.0000
0.5000 0.5000 0.5000

---

*D*
Tc2SbP, relaxed, DFT PBE-GGA; DOS(E_F) = 2.60 states/eV per cell; density = 9.49 g cm⁻³
1.0
0.0000 3.1244 3.1244
3.1244 0.0000 3.1244
3.1244 3.1244 0.0000
Tc Sb P
2 1 1
Direct
0.2500 0.2500 0.2500
0.7500 0.7500 0.7500
0.0000 0.0000 0.0000
0.5000 0.5000 0.5000

---

Calculated relative energies: *A* 0.0; *B* 48.0; *C* 3.9; *D* 8.9, given in kJ/mol of atoms

---

*A*
Tc2SbP2, relaxed, DFT PBE-GGA; DOS(E_F) = 2.67 states/eV per cell; density = 7.71 g cm⁻³
1.0
-1.8446 1.8446 6.0120
1.8446 -1.8446 6.0120
1.8446 1.8446 -6.0120
Tc Sb P
2 1 2
Direct
0.1256 0.1256 0.0000
0.8744 0.8744 0.0000
0.5000 0.5000 0.0000
0.2500 0.7500 0.5000
0.7500 0.2500 0.5000

---

*B*
Tc2SbP2, relaxed, DFT PBE-GGA; DOS(E_F) = 6.70 states/eV per cell; density = 8.04 g cm⁻³
1.0
7.2486 0.0000 0.0000
0.0000 7.2486 0.0000
0.0000 0.0000 2.9840
Tc Sb P
4 2 4
Direct
0.1440 0.3560 0.0000
0.3560 0.8560 0.0000
0.6440 0.1440 0.0000
0.8560 0.6440 0.0000
0.0000 0.0000 0.0000
0.5000 0.5000 0.0000
0.1322 0.6322 0.5000
0.3678 0.1322 0.5000
0.6322 0.8678 0.5000
0.8678 0.3678 0.5000

---

Calculated relative energies: *A* 0.0; *B* 9.1, given in kJ/mol of atoms

---

*A*
TcSb2TeP, relaxed, DFT PBE-GGA; DOS(E_F) = 3.65 states/eV per cell; density = 6.15 g cm⁻³
1.0
5.0847 0.0000 0.0000
0.0000 5.0847 0.0000
0.0000 0.0000 5.2238
Tc Sb Te P
1 2 1 1
Direct
0.0000 0.0000 0.0000
0.0000 0.5000 0.5000
0.5000 0.0000 0.5000
0.5000 0.5000 0.0000
0.5000 0.5000 0.5000

---

*B*
TcSb2TeP, relaxed, DFT PBE-GGA; DOS(E_F) = 3.66 states/eV per cell; density = 6.20 g cm⁻³
1.0
5.1589 0.0000 0.0000
0.0000 5.1589 0.0000
0.0000 0.0000 5.0314
Tc Sb Te P
1 2 1 1
Direct
0.0000 0.0000 0.0000
0.0000 0.5000 0.0000
0.5000 0.0000 0.0000
0.0000 0.0000 0.5000
0.5000 0.5000 0.5000

---

Calculated relative energies: *A* 37.8; *B* 0.0, given in kJ/mol of atoms

---

*A*
Sb2TeP, relaxed, DFT PBE-GGA; DOS(E_F) = 4.50 states/eV per cell; density = 5.77 g cm⁻³
1.0
-3.8253 3.8253 3.9506
3.8253 -3.8253 3.9506
3.8253 3.8253 -3.9506
Sb Te P
4 2 2
Direct
0.0840 0.6250 0.9590
0.3750 0.3340 0.4590
0.6660 0.1250 0.0410
0.8750 0.9160 0.5410
0.2500 0.7500 0.5000
0.5000 0.5000 0.0000
0.0000 0.0000 0.0000
0.7500 0.2500 0.5000

---

*B*
Sb2TeP, relaxed, DFT PBE-GGA; DOS(E_F) = 1.05 states/eV per cell; density = 5.65 g cm⁻³
1.0
7.5183 -1.9065 0.0000
7.5183 1.9065 0.0000
-0.9773 0.0000 4.1221
Sb Te P
2 1 1
Direct
0.0000 0.0000 0.0000
0.1816 0.1816 0.7644
0.3997 0.3997 0.5445
0.6483 0.6483 0.3450

---

Calculated relative energies: *A* 8.7; *B* 0.0, given in kJ/mol of atoms

---

*A*
Sb2TeP, relaxed, DFT PBE-GGA; DOS(E_F) = 2.30 states/eV per cell; density = 6.11 g cm⁻³
1.0
-3.0341 3.0341 2.9697
3.0341 -3.0341 2.9697
3.0341 3.0341 -2.9697
Sb Te P
2 1 1
Direct
0.0000 0.5000 0.5000
0.5000 0.0000 0.5000
0.0000 0.0000 0.0000
0.5000 0.5000 0.0000

---

*B*
Sb2TeP, relaxed, DFT PBE-GGA; DOS(E_F) = 1.93 states/eV per cell; density = 6.67 g cm⁻³
1.0
1.8325 -2.6441 0.0000
1.8325 2.6441 0.0000
0.0000 0.0000 10.3270
Sb Te P
2 1 1
Direct
0.0000 0.0000 0.2051
0.0000 0.0000 0.7949
0.5000 0.5000 0.5000
0.5000 0.5000 0.0000

---

Calculated relative energies: *A* 0.0; *B* 14.5, given in kJ/mol of atoms

---

*A*
Sb2TeP, relaxed, DFT PBE-GGA; DOS(E_F) = 2.11 states/eV per cell; density = 6.83 g cm⁻³
1.0
0.0000 3.6570 3.6570
3.6570 0.0000 3.6570
3.6570 3.6570 0.0000
Sb Te P
2 1 1
Direct
0.2500 0.2500 0.2500
0.7500 0.7500 0.7500
0.0000 0.0000 0.0000
0.5000 0.5000 0.5000

---

*B*
Sb2TeP, relaxed, DFT PBE-GGA; DOS(E_F) = 2.10 states/eV per cell; density = 6.23 g cm⁻³
1.0
2.9846 -4.2677 0.0000
2.9846 4.2677 0.0000
0.0000 0.0000 4.2068
Sb Te P
2 1 1
Direct
0.2199 0.7801 0.0000
0.7801 0.2199 0.0000
0.5000 0.5000 0.5000
0.0000 0.0000 0.5000

---

Calculated relative energies: *A* 27.1; *B* 0.0, given in kJ/mol of atoms

---

*A*
Sb2TeP, relaxed, DFT PBE-GGA; DOS(E_F) = 2.19 states/eV per cell; density = 5.75 g cm⁻³
1.0
4.2273 0.0000 0.0000
0.0000 4.2273 0.0000
0.0000 0.0000 6.4969
Sb Te P
2 1 1
Direct
0.0000 0.0000 0.0000
0.5000 0.5000 0.4169
0.0000 0.0000 0.4994
0.5000 0.5000 0.0239

---

*B*
Sb2TeP, relaxed, DFT PBE-GGA; DOS(E_F) = 2.16 states/eV per cell; density = 6.35 g cm⁻³
1.0
3.5847 0.0000 0.0000
0.0000 3.5847 0.0000
0.0000 0.0000 8.1791
Sb Te P
2 1 1
Direct
0.0000 0.0000 0.0000
0.5000 0.5000 0.3174
0.0000 0.0000 0.5329
0.5000 0.5000 0.8678

---

Calculated relative energies: *A* 0.0; *B* 14.0, given in kJ/mol of atoms

---

*A*
Sb2TeP, relaxed, DFT PBE-GGA; DOS(E_F) = 2.66 states/eV per cell; density = 6.56 g cm⁻³
1.0
-1.7850 2.5215 5.6501
1.7850 -2.5215 5.6501
1.7850 2.5215 -5.6501
Sb Te P
2 1 1
Direct
0.1918 0.1918 0.0000
0.8082 0.8082 0.0000
0.5000 0.0000 0.5000
0.0000 0.5000 0.5000

---

*B*
Sb2TeP, relaxed, DFT PBE-GGA; DOS(E_F) = 1.80 states/eV per cell; density = 6.25 g cm⁻³
1.0
3.5944 -2.1588 0.0000
3.5944 2.1588 0.0000
-2.5635 0.0000 6.8880
Sb Te P
2 1 1
Direct
0.2365 0.2365 0.2122
0.7635 0.7635 0.7878
0.0000 0.0000 0.5000
0.5000 0.5000 0.0000

---

Calculated relative energies: *A* 23.3; *B* 0.0, given in kJ/mol of atoms

---

*A*
Sb2TeP, relaxed, DFT PBE-GGA; DOS(E_F) = 2.29 states/eV per cell; density = 6.81 g cm⁻³
1.0
3.6469 0.0000 0.0000
0.0000 5.1731 0.0000
0.0000 0.0000 5.1964
Sb Te P
2 1 1
Direct
0.0000 0.0000 0.0000
0.5000 0.5000 0.0000
0.0000 0.5000 0.5000
0.5000 0.0000 0.5000

---

*B*
Sb2TeP, relaxed, DFT PBE-GGA; DOS(E_F) = 2.58 states/eV per cell; density = 6.80 g cm⁻³
1.0
5.2175 0.0000 0.0000
0.0000 5.2175 0.0000
0.0000 0.0000 3.6071
Sb Te P
2 1 1
Direct
0.0000 0.5000 0.0000
0.5000 0.0000 0.0000
0.0000 0.0000 0.5000
0.5000 0.5000 0.5000

---

Calculated relative energies: *A* 4.3; *B* 0.0, given in kJ/mol of atoms